1.
Material: Sr2TlP
Method: DFT, PBEsol
State: relaxed

The structure in POSCAR format:
```
Sr2TlP
1.0
-0.067 -4.355 -2.319
3.656 0.407 4.381
-1.430 -2.203 4.178
P Sr Tl
1 2 1
Direct
0.000 0.000 0.000
0.250 0.500 0.250
0.750 0.500 0.750
0.500 0.000 0.500
```

Values from the calculation:
Total magnetic moment (μB/atom): 0.000
Energy relative to the elements (eV/atom): -0.527


2.
Material: Cd2HgTe
Method: DFT, PBEsol
State: relaxed

The structure in POSCAR format:
```
Cd2HgTe
1.0
3.380 0.056 0.000
-0.856 3.270 0.000
0.000 0.000 8.741
Te Hg Cd
1 1 2
Direct
0.500 0.500 0.000
0.500 0.500 0.500
0.000 0.000 0.267
0.000 0.000 0.733
```

Values from the calculation:
Energy above the lowest structure with this stoichiometry (meV per atom): 112
Total magnetic moment (μB/atom): 0.000


Number 1 is which compound? Sr2TlP


What did the second record say?
Material: Cd2HgTe
Method: DFT, PBEsol
State: relaxed

The structure in POSCAR format:
```
Cd2HgTe
1.0
3.380 0.056 0.000
-0.856 3.270 0.000
0.000 0.000 8.741
Te Hg Cd
1 1 2
Direct
0.500 0.500 0.000
0.500 0.500 0.500
0.000 0.000 0.267
0.000 0.000 0.733
```

Values from the calculation:
Energy above the lowest structure with this stoichiometry (meV per atom): 112
Total magnetic moment (μB/atom): 0.000